[1]
DFT (meta-GGA SCAN) results for Na6Co2PC4O16 at its PBEsol-relaxed geometry.

Geometry as POSCAR:
```
Na6Co2PC4O16
1.0
0.0000 6.7935 6.7935
6.7935 0.0000 6.7935
6.7935 6.7935 0.0000
Na Co P C O
12 4 2 8 32
Cartesian
5.0951 5.0951 1.1357
5.0951 1.1357 5.0951
9.0546 5.0951 5.0951
8.4919 8.4919 4.5324
8.4919 4.5324 8.4919
12.4514 8.4919 8.4919
1.1357 5.0951 5.0951
5.0951 9.0546 5.0951
5.0951 5.0951 9.0546
4.5324 8.4919 8.4919
8.4919 12.4514 8.4919
8.4919 8.4919 12.4514
6.7935 3.3968 3.3968
3.3968 6.7935 3.3968
3.3968 3.3968 6.7935
6.7935 6.7935 6.7935
1.6984 1.6984 1.6984
11.8887 11.8887 11.8887
3.9137 3.9137 3.9137
6.2766 6.2766 3.9137
6.2766 3.9137 6.2766
9.6733 7.3105 7.3105
3.9137 6.2766 6.2766
7.3105 9.6733 7.3105
7.3105 7.3105 9.6733
9.6733 9.6733 9.6733
0.8013 0.8013 0.8013
2.5955 2.5955 0.8013
2.5955 0.8013 2.5955
4.8879 3.7166 3.0795
7.1108 5.3024 3.7166
6.4737 3.0795 5.3024
5.3024 6.4737 3.0795
3.7166 3.0795 4.8879
7.1108 4.8879 6.4737
0.8013 2.5955 2.5955
8.6992 7.1134 6.4763
10.5075 8.2846 7.1134
9.8704 6.4763 8.2846
3.0795 4.8879 3.7166
6.4737 7.1108 4.8879
5.3024 3.7166 7.1108
8.2846 9.8704 6.4763
7.1134 6.4763 8.6992
10.5075 8.6992 9.8704
3.7166 7.1108 5.3024
3.0795 5.3024 6.4737
4.8879 6.4737 7.1108
12.7858 10.9916 10.9916
6.4763 8.6992 7.1134
9.8704 10.5075 8.6992
8.2846 7.1134 10.5075
7.1134 10.5075 8.2846
6.4763 8.2846 9.8704
8.6992 9.8704 10.5075
10.9916 12.7858 10.9916
10.9916 10.9916 12.7858
12.7858 12.7858 12.7858
```

Summary:
Theoretical density ... 3.1 g cm⁻³
Formation energy without anion corrections ... -52.39 eV per formula unit
V ... 627.1 Å³ per cell
Space-group type ... Fd-3

***

[2]
DFT (meta-GGA SCAN) results for Na2CoCSO7 at its PBEsol-relaxed geometry.

Geometry as POSCAR:
```
Na2CoCSO7
1.0
5.1884 0.0000 0.0000
0.0000 6.5936 0.0000
-0.2688 0.0000 8.9278
Na Co C S O
4 2 2 2 14
Cartesian
1.1406 0.0056 2.5099
1.1406 3.2912 2.5099
3.7789 3.3024 6.4179
3.7789 6.5880 6.4179
0.9137 4.9452 7.6313
4.0059 1.6484 1.2964
1.2720 4.9452 5.2046
3.6475 1.6484 3.7232
1.2145 1.6484 8.2159
3.7051 4.9452 0.7119
0.0786 4.9452 5.7344
0.8289 1.6484 0.6292
0.8046 0.4476 7.4461
0.8046 2.8492 7.4461
1.4963 4.9452 3.9672
2.2132 4.9452 0.5401
2.2336 4.9452 6.1055
2.6860 1.6484 2.8223
2.7064 1.6484 8.3877
3.4233 1.6484 4.9606
4.1149 3.7444 1.4817
4.1149 6.1460 1.4817
4.0907 4.9452 8.2986
4.8409 1.6484 3.1934
```

Summary:
Theoretical density ... 2.8 g cm⁻³
Formation energy without anion corrections ... -20.67 eV per formula unit
V ... 305.4 Å³ per cell
Space-group type ... P2_1/m

***

[3]
DFT (meta-GGA SCAN) results for NaCoCSO7 at its PBEsol-relaxed geometry.

Geometry as POSCAR:
```
NaCoCSO7
1.0
4.9690 0.0000 0.0000
0.0000 6.5433 0.0000
-0.0889 0.0000 9.0174
Na Co C S O
2 2 2 2 14
Cartesian
1.0235 0.0000 1.9882
3.8565 3.2717 7.0292
1.0876 5.2078 5.8836
3.7925 1.9362 3.1337
1.5524 5.2073 8.1510
3.3277 1.9356 0.8663
1.3619 1.8789 5.1610
3.5182 5.1506 3.8563
0.3495 5.1641 7.5954
0.6141 1.8371 3.8758
1.0028 3.0697 5.9617
1.0889 0.6980 5.9857
1.8902 5.3093 0.3288
2.0485 5.2337 4.1854
2.4387 1.8700 1.8533
2.4414 5.1416 7.1640
2.8316 1.9620 4.8319
2.9899 2.0377 8.6886
3.7912 3.9697 3.0317
3.8772 6.3414 3.0557
4.2660 5.1088 5.1416
4.5306 1.8925 1.4220
```

Summary:
Theoretical density ... 2.7 g cm⁻³
Formation energy without anion corrections ... -16.81 eV per formula unit
V ... 293.2 Å³ per cell
Space-group type ... P2_1

***

[4]
DFT (meta-GGA SCAN) results for Nb4Co2C at its PBEsol-relaxed geometry.

Geometry as POSCAR:
```
Nb4Co2C
1.0
0.0000 5.7904 5.7904
5.7904 0.0000 5.7904
5.7904 5.7904 0.0000
Nb Co C
16 8 4
Cartesian
0.0000 0.0000 0.0000
2.8952 2.8952 0.0000
2.8952 0.0000 2.8952
4.3428 4.3428 2.1630
4.3428 2.1630 4.3428
6.5226 4.3428 4.3428
7.2381 7.2381 5.0583
7.2381 5.0583 7.2381
9.4178 7.2381 7.2381
0.0000 2.8952 2.8952
2.1630 4.3428 4.3428
4.3428 6.5226 4.3428
4.3428 4.3428 6.5226
5.0583 7.2381 7.2381
7.2381 9.4178 7.2381
7.2381 7.2381 9.4178
9.2199 5.2562 5.2562
2.3609 2.3609 2.3609
6.3247 6.3247 2.3609
6.3247 2.3609 6.3247
5.2562 9.2199 5.2562
5.2562 5.2562 9.2199
9.2199 9.2199 9.2199
2.3609 6.3247 6.3247
5.7904 2.8952 2.8952
2.8952 5.7904 2.8952
2.8952 2.8952 5.7904
5.7904 5.7904 5.7904
```

Summary:
Formation energy ... -247.3 meV/atom
Theoretical density ... 8.6 g cm⁻³
V ... 388.3 Å³ per cell
Space-group type ... Fd-3m

***

[5]
DFT (meta-GGA SCAN) results for Nb3Co3C at its PBEsol-relaxed geometry.

Geometry as POSCAR:
```
Nb3Co3C
1.0
0.0000 5.6134 5.6134
5.6134 0.0000 5.6134
5.6134 5.6134 0.0000
Nb Co C
12 12 4
Cartesian
4.2100 4.2100 0.8548
4.2100 0.8548 4.2100
7.5653 4.2100 4.2100
7.0167 7.0167 3.6615
7.0167 3.6615 7.0167
10.3720 7.0167 7.0167
0.8548 4.2100 4.2100
4.2100 7.5653 4.2100
4.2100 4.2100 7.5653
3.6615 7.0167 7.0167
7.0167 10.3720 7.0167
7.0167 7.0167 10.3720
5.6134 2.8067 2.8067
3.3482 3.3482 3.3482
5.0719 5.0719 3.3482
5.0719 3.3482 5.0719
7.8786 6.1549 6.1549
2.8067 5.6134 2.8067
2.8067 2.8067 5.6134
5.6134 5.6134 5.6134
3.3482 5.0719 5.0719
6.1549 7.8786 6.1549
6.1549 6.1549 7.8786
7.8786 7.8786 7.8786
0.0000 0.0000 0.0000
2.8067 2.8067 0.0000
2.8067 0.0000 2.8067
0.0000 2.8067 2.8067
```

Summary:
Formation energy ... -187.1 meV/atom
Theoretical density ... 8.8 g cm⁻³
V ... 353.8 Å³ per cell
Space-group type ... Fd-3m

***

[6]
DFT (meta-GGA SCAN) results for TiCoNiC2 at its PBEsol-relaxed geometry.

Geometry as POSCAR:
```
TiCoNiC2
1.0
3.5466 0.0000 0.0000
0.0000 3.5466 0.0000
0.0000 0.0000 4.4487
Ti Co Ni C
1 1 1 2
Cartesian
0.0000 0.0000 0.0000
1.7733 1.7733 2.2243
1.7733 1.7733 0.0000
0.0000 1.7733 2.2243
1.7733 0.0000 2.2243
```

Summary:
Formation energy ... 1252.8 meV/atom
Theoretical density ... 5.6 g cm⁻³
V ... 56.0 Å³ per cell
Space-group type ... P4/mmm

***

[7]
DFT (meta-GGA SCAN) results for Co3CO at its PBEsol-relaxed geometry.

Geometry as POSCAR:
```
Co3CO
1.0
3.6406 0.0000 0.0000
0.0000 3.6406 0.0000
0.0000 0.0000 3.6406
Co C O
3 1 1
Cartesian
0.0000 0.0000 1.8203
0.0000 1.8203 0.0000
1.8203 0.0000 0.0000
1.8203 1.8203 1.8203
0.0000 0.0000 0.0000
```

Summary:
Theoretical density ... 7.0 g cm⁻³
Formation energy without anion corrections ... 4.59 eV per formula unit
V ... 48.3 Å³ per cell
Space-group type ... Pm-3m

***

[8]
DFT (meta-GGA SCAN) results for CoCO2 at its PBEsol-relaxed geometry.

Geometry as POSCAR:
```
CoCO2
1.0
-2.1129 2.1129 3.8392
2.1129 -2.1129 3.8392
2.1129 2.1129 -3.8392
Co C O
2 2 4
Cartesian
0.0000 0.0000 0.0000
0.0000 2.1129 1.9196
2.1129 0.0000 1.9196
0.0000 0.0000 3.8392
1.0565 -0.6869 2.8794
1.4260 1.0565 0.9598
1.0565 2.7998 -0.9598
0.6869 1.0565 4.7989
```

Summary:
Theoretical density ... 5.0 g cm⁻³
Formation energy without anion corrections ... 2.70 eV per formula unit
V ... 68.6 Å³ per cell
Space-group type ... I-42d

***

[9]
DFT (meta-GGA SCAN) results for CoCO3 at its PBEsol-relaxed geometry.

Geometry as POSCAR:
```
CoCO3
1.0
2.3044 1.3304 4.8512
-2.3044 1.3304 4.8512
0.0000 -2.6608 4.8512
Co C O
2 2 6
Cartesian
0.0000 0.0000 0.0000
0.0000 0.0000 7.2768
0.0000 0.0000 3.6384
0.0000 0.0000 10.9152
-1.6566 -0.2086 6.0640
-0.6477 -1.5390 8.4896
1.0089 -1.3304 6.0640
-1.0089 1.3304 8.4896
0.6477 1.5390 6.0640
1.6566 0.2086 8.4896
```

Summary:
Theoretical density ... 4.4 g cm⁻³
Formation energy without anion corrections ... -6.54 eV per formula unit
V ... 89.2 Å³ per cell
Space-group type ... R-3c

***

[10]
DFT (meta-GGA SCAN) results for CoTcCO2 at its PBEsol-relaxed geometry.

Geometry as POSCAR:
```
CoTcCO2
1.0
3.4119 0.0000 0.0000
0.0000 3.4119 0.0000
0.0000 0.0000 4.1501
Co Tc C O
1 1 1 2
Cartesian
0.0000 0.0000 0.0000
1.7060 1.7060 0.0000
1.7060 1.7060 2.0751
0.0000 1.7060 2.0751
1.7060 0.0000 2.0751
```

Summary:
Theoretical density ... 6.9 g cm⁻³
Formation energy without anion corrections ... 6.89 eV per formula unit
V ... 48.3 Å³ per cell
Space-group type ... P4/mmm

***

[11]
DFT (meta-GGA SCAN) results for Tl2CoOsC at its PBEsol-relaxed geometry.

Geometry as POSCAR:
```
Tl2CoOsC
1.0
4.7927 0.0000 0.0000
0.0000 4.7927 0.0000
0.0000 0.0000 3.8426
Tl Co Os C
2 1 1 1
Cartesian
0.0000 2.3964 0.0000
2.3964 0.0000 0.0000
0.0000 0.0000 1.9213
2.3964 2.3964 1.9213
2.3964 2.3964 0.0000
```

Summary:
Formation energy ... 1343.7 meV/atom
Theoretical density ... 12.6 g cm⁻³
V ... 88.3 Å³ per cell
Space-group type ... P4/mmm

***

[12]
DFT (meta-GGA SCAN) results for Co2PPtC at its PBEsol-relaxed geometry.

Geometry as POSCAR:
```
Co2PPtC
1.0
4.6683 0.0000 0.0000
0.0000 4.6683 0.0000
0.0000 0.0000 4.2627
Co P Pt C
2 1 1 1
Cartesian
0.0000 2.3341 0.0000
2.3341 0.0000 0.0000
0.0000 0.0000 2.1314
0.0000 0.0000 0.0000
2.3341 2.3341 2.1314
```

Summary:
Formation energy ... 1948.0 meV/atom
Theoretical density ... 6.4 g cm⁻³
V ... 92.9 Å³ per cell
Space-group type ... P4/mmm

***

[13]
DFT (meta-GGA SCAN) results for CoSiP2C at its PBEsol-relaxed geometry.

Geometry as POSCAR:
```
CoSiP2C
1.0
4.1564 0.0000 0.0000
0.0000 4.1564 0.0000
0.0000 0.0000 3.5561
Co Si P C
1 1 2 1
Cartesian
0.0000 0.0000 0.0000
2.0782 2.0782 0.0000
0.0000 2.0782 1.7781
2.0782 0.0000 1.7781
0.0000 0.0000 1.7781
```

Summary:
Theoretical density ... 4.4 g cm⁻³
Formation energy without anion corrections ... 5.65 eV per formula unit
V ... 61.4 Å³ per cell
Space-group type ... P4/mmm

***

[14]
DFT (meta-GGA SCAN) results for CoPd3C at its PBEsol-relaxed geometry.

Geometry as POSCAR:
```
CoPd3C
1.0
4.4241 0.0000 0.0000
0.0000 4.4241 0.0000
0.0000 0.0000 4.4241
Co Pd C
1 3 1
Cartesian
0.0000 0.0000 0.0000
0.0000 0.0000 2.2120
0.0000 2.2120 0.0000
2.2120 0.0000 0.0000
2.2120 2.2120 2.2120
```

Summary:
Formation energy ... 2123.7 meV/atom
Theoretical density ... 7.5 g cm⁻³
V ... 86.6 Å³ per cell
Space-group type ... Pm-3m

***

[15]
DFT (meta-GGA SCAN) results for Co2PdC at its PBEsol-relaxed geometry.

Geometry as POSCAR:
```
Co2PdC
1.0
-3.0026 3.0026 2.3234
3.0026 -3.0026 2.3234
3.0026 3.0026 -2.3234
Co Pd C
4 2 2
Cartesian
1.5013 0.9118 -0.5809
2.0909 -1.5013 2.9043
1.5013 2.0909 1.7426
0.9118 4.5039 0.5809
3.0026 0.0000 1.1617
0.0000 0.0000 2.3234
0.0000 0.0000 0.0000
0.0000 3.0026 1.1617
```

Summary:
Formation energy ... 476.4 meV/atom
Theoretical density ... 9.4 g cm⁻³
V ... 83.8 Å³ per cell
Space-group type ... I-42d

***

[16]
DFT (meta-GGA SCAN) results for Pr2Co2SiC at its PBEsol-relaxed geometry.

Geometry as POSCAR:
```
Pr2Co2SiC
1.0
-1.9614 2.9793 4.4701
1.9614 -2.9793 4.4701
1.9614 2.9793 -4.4701
Pr Co Si C
2 2 1 1
Cartesian
0.0000 0.0000 1.7111
0.0000 0.0000 7.2291
1.9614 1.7579 0.0000
0.0000 1.2214 4.4701
0.0000 2.9793 0.0000
1.9614 0.0000 0.0000
```

Summary:
Theoretical density ... 7.0 g cm⁻³
Formation energy without anion corrections ... -2.44 eV per formula unit
V ... 104.5 Å³ per cell
Space-group type ... Immm

***

[17]
DFT (meta-GGA SCAN) results for CoPtC3 at its PBEsol-relaxed geometry.

Geometry as POSCAR:
```
CoPtC3
1.0
3.6836 0.0000 0.0000
0.0000 3.6836 0.0000
0.0000 0.0000 3.6836
Co Pt C
1 1 3
Cartesian
0.0000 0.0000 0.0000
1.8418 1.8418 1.8418
0.0000 0.0000 1.8418
0.0000 1.8418 0.0000
1.8418 0.0000 0.0000
```

Summary:
Formation energy ... 2206.6 meV/atom
Theoretical density ... 9.6 g cm⁻³
V ... 50.0 Å³ per cell
Space-group type ... Pm-3m

***

[18]
DFT (meta-GGA SCAN) results for CoSn2PtC at its PBEsol-relaxed geometry.

Geometry as POSCAR:
```
CoSn2PtC
1.0
4.6988 0.0000 0.0000
0.0000 4.6988 0.0000
0.0000 0.0000 4.5708
Co Sn Pt C
1 2 1 1
Cartesian
0.0000 0.0000 0.0000
0.0000 2.3494 0.0000
2.3494 0.0000 0.0000
0.0000 0.0000 2.2854
2.3494 2.3494 2.2854
```

Summary:
Formation energy ... 1614.8 meV/atom
Theoretical density ... 8.3 g cm⁻³
V ... 100.9 Å³ per cell
Space-group type ... P4/mmm

***

[19]
DFT (meta-GGA SCAN) results for RbCoC2 at its PBEsol-relaxed geometry.

Geometry as POSCAR:
```
RbCoC2
1.0
0.0000 4.0132 4.0132
4.0132 0.0000 4.0132
4.0132 4.0132 0.0000
Rb Co C
2 2 4
Cartesian
1.0033 1.0033 1.0033
7.0230 7.0230 7.0230
3.0099 3.0099 3.0099
5.0165 5.0165 5.0165
4.0132 2.0066 2.0066
2.0066 4.0132 2.0066
2.0066 2.0066 4.0132
4.0132 4.0132 4.0132
```

Summary:
Formation energy ... 757.3 meV/atom
Theoretical density ... 4.3 g cm⁻³
V ... 129.3 Å³ per cell
Space-group type ... Fd-3m

***

[20]
DFT (meta-GGA SCAN) results for RbCoSbC2 at its PBEsol-relaxed geometry.

Geometry as POSCAR:
```
RbCoSbC2
1.0
4.0563 0.0000 0.0000
0.0000 4.0563 0.0000
0.0000 0.0000 5.0871
Rb Co Sb C
1 1 1 2
Cartesian
0.0000 0.0000 0.0000
2.0281 2.0281 2.5435
2.0281 2.0281 0.0000
0.0000 2.0281 2.5435
2.0281 0.0000 2.5435
```

Summary:
Theoretical density ... 5.8 g cm⁻³
Formation energy without anion corrections ... 9.59 eV per formula unit
V ... 83.7 Å³ per cell
Space-group type ... P4/mmm